{
  "formula": "Mg2AsO4F",
  "functional": "PBE",
  "state": "optimized geometry",
  "lattice_angstrom": [[-2.702, -0.126, 1.132], [0.630, -1.997, 5.079], [-0.829, 5.489, 2.430]],
  "species": ["F", "O", "O", "O", "O", "As", "Mg", "Mg"],
  "frac_coords": [[0.500, 0.500, 0.500], [0.640, 0.765, 0.955], [0.143, 0.024, 0.690], [0.360, 0.235, 0.045], [0.857, 0.976, 0.310], [0.000, 0.000, 0.000], [0.813, 0.778, 0.597], [0.187, 0.222, 0.403]],
  "crystal_system": "monoclinic",
  "density_g_cm3": 3.761,
  "m_tot_mub_per_cell": 0.00,
  "formation_energy_uncorrected_ev_per_atom": -2.12
}